{"formula": "LuCoGeRu", "functional": "PBE", "state": "relaxed", "spacegroup": "F-43m (216)", "magnetic_moment_mub_per_cell": 0.00, "total_energy_ev_per_cell": -27.067, "formation_enthalpy_0k_mev_per_atom": -387, "cell": [[-3.514, 1.665, -2.061], [-3.949, -1.870, 0.523], [-3.127, 2.069, 2.304]], "species": ["Ge", "Ru", "Co", "Lu"], "frac_coords": [[0.250, 0.250, 0.250], [0.000, 0.000, 0.000], [0.500, 0.500, 0.500], [0.750, 0.750, 0.750]]}